# NdZrNO

An optimized crystal structure of NdZrNO (GGA-PBE, OQMD via LeMat-Bulk).

a = 4.605 Å, b = 4.605 Å, c = 5.991 Å
α = 90.00°, β = 90.00°, γ = 90.00°
Sites, in units of the cell vectors:
Nd 0.000 0.000 0.500
Nd 0.500 0.500 0.500
Zr 0.000 0.500 0.034
Zr 0.500 0.000 0.966
O 0.500 0.500 0.000
O 0.000 0.000 0.000
N 0.000 0.500 0.365
N 0.500 0.000 0.635

Summary:
- E_tot: -8.40 eV/atom
- Distance to the lowest polymorph of the same formula: 154 meV/atom

=====

# NdZrNO

An optimized crystal structure of NdZrNO (GGA-PBE, OQMD via LeMat-Bulk).

a = 4.246 Å, b = 4.246 Å, c = 8.573 Å
α = 90.00°, β = 90.00°, γ = 90.00°
Sites, in units of the cell vectors:
Zr 0.500 0.500 0.500
Zr 0.000 0.000 0.500
N 0.500 0.000 0.443
N 0.000 0.500 0.557
Nd 0.500 0.000 0.877
Nd 0.000 0.500 0.123
O 0.500 0.500 0.000
O 0.000 0.000 0.000

Summary:
- E_tot: -8.54 eV/atom
- Distance to the lowest polymorph of the same formula: 10 meV/atom

=====

# NdPN

An optimized crystal structure of NdPN (GGA-PBE, OQMD via LeMat-Bulk).

a = 4.582 Å, b = 4.582 Å, c = 4.602 Å
α = 90.00°, β = 90.00°, γ = 120.00°
Sites, in units of the cell vectors:
P 0.667 0.333 0.000
N 0.333 0.667 0.000
Nd 0.000 0.000 0.000

Summary:
- E_tot: -5.25 eV/atom

=====

# NdPa3N6

An optimized crystal structure of NdPa3N6 (GGA-PBE, OQMD via LeMat-Bulk).

a = 6.867 Å, b = 6.867 Å, c = 3.688 Å
α = 90.00°, β = 90.00°, γ = 110.51°
Sites, in units of the cell vectors:
N 0.071 0.331 0.000
N 0.344 0.656 0.500
N 0.929 0.669 0.000
N 0.669 0.929 0.000
N 0.331 0.071 0.000
N 0.656 0.344 0.500
Pa 0.000 0.500 0.500
Pa 0.500 0.000 0.500
Pa 0.000 0.000 0.000
Nd 0.500 0.500 0.000

Summary:
- E_tot: -9.76 eV/atom